# 1
# CrSiBr

A relaxed CrSiBr crystal (PBE, Alexandria).

## Properties
The value obtained for the uncorrected formation energy is 61.05 kJ/mol of atoms. For the total magnetic moment, the calculation gives 2.7 μB/f.u. The density of states at the Fermi level comes out at 1.78 states/eV/cell.

Structure (CIF):
```
data_CrSiBr
_cell_length_a 4.4130
_cell_length_b 4.4130
_cell_length_c 3.1346
_cell_angle_alpha 90.00
_cell_angle_beta 90.00
_cell_angle_gamma 120.00
_symmetry_space_group_name_H-M 'P -6 m 2'
_symmetry_Int_Tables_number 187
_symmetry_space_group_name_Hall 'P -6 2'
loop_
_atom_site_label
_atom_site_type_symbol
_atom_site_fract_x
_atom_site_fract_y
_atom_site_fract_z
Cr1 Cr 0.0000 0.0000 0.0000
Si1 Si 0.6667 0.3333 0.5000
Br1 Br 0.3333 0.6667 0.0000
```

---

# 2
# CrSi2Br

A relaxed CrSi2Br crystal (PBE, Alexandria).

## Properties
The value obtained for the uncorrected formation energy is 46.96 kJ/mol of atoms. For the total magnetic moment, the calculation gives 3.3 μB/f.u. The density of states at the Fermi level comes out at 3.24 states/eV/cell.

Structure (CIF):
```
data_CrSi2Br
_cell_length_a 2.9977
_cell_length_b 4.3172
_cell_length_c 11.1878
_cell_angle_alpha 90.00
_cell_angle_beta 90.00
_cell_angle_gamma 90.00
_symmetry_space_group_name_H-M 'I m m m'
_symmetry_Int_Tables_number 71
_symmetry_space_group_name_Hall '-I 2 2'
loop_
_atom_site_label
_atom_site_type_symbol
_atom_site_fract_x
_atom_site_fract_y
_atom_site_fract_z
Cr1 Cr 0.0000 0.0000 0.0000
Si1 Si 0.0000 0.5000 0.2912
Br1 Br 0.0000 0.0000 0.5000
```

---

# 3
# CrSiBr2

A relaxed CrSiBr2 crystal (PBE, Alexandria).

## Properties
The value obtained for the uncorrected formation energy is 26.34 kJ/mol of atoms. For the total magnetic moment, the calculation gives 4.5 μB/f.u. The density of states at the Fermi level comes out at 9.19 states/eV/cell.

Structure (CIF):
```
data_CrSiBr2
_cell_length_a 3.5716
_cell_length_b 3.5716
_cell_length_c 26.3913
_cell_angle_alpha 90.00
_cell_angle_beta 90.00
_cell_angle_gamma 120.00
_symmetry_space_group_name_H-M 'R -3 m'
_symmetry_Int_Tables_number 166
_symmetry_space_group_name_Hall '-R 3 2"'
loop_
_atom_site_label
_atom_site_type_symbol
_atom_site_fract_x
_atom_site_fract_y
_atom_site_fract_z
Cr1 Cr 0.0000 0.0000 0.0000
Si1 Si 0.0000 0.0000 0.5000
Br1 Br 0.0000 0.0000 0.2699
```

---

# 4
# CrSi2Br

A relaxed CrSi2Br crystal (PBE, Alexandria).

## Properties
The value obtained for the uncorrected formation energy is 34.76 kJ/mol of atoms. For the total magnetic moment, the calculation gives 1.1 μB/f.u. The density of states at the Fermi level comes out at 9.16 states/eV/cell.

Structure (CIF):
```
data_CrSi2Br
_cell_length_a 3.1906
_cell_length_b 3.1906
_cell_length_c 22.5023
_cell_angle_alpha 90.00
_cell_angle_beta 90.00
_cell_angle_gamma 120.00
_symmetry_space_group_name_H-M 'R -3 m'
_symmetry_Int_Tables_number 166
_symmetry_space_group_name_Hall '-R 3 2"'
loop_
_atom_site_label
_atom_site_type_symbol
_atom_site_fract_x
_atom_site_fract_y
_atom_site_fract_z
Cr1 Cr 0.0000 0.0000 0.0000
Si1 Si 0.0000 0.0000 0.2650
Br1 Br 0.0000 0.0000 0.5000
```

---

# 5
# CrSi2Br

A relaxed CrSi2Br crystal (PBE, Alexandria).

## Properties
The value obtained for the uncorrected formation energy is 17.08 kJ/mol of atoms. For the total magnetic moment, the calculation gives 3.2 μB/f.u. The density of states at the Fermi level comes out at 1.87 states/eV/cell.

Structure (CIF):
```
data_CrSi2Br
_cell_length_a 3.5550
_cell_length_b 3.4602
_cell_length_c 7.7668
_cell_angle_alpha 90.00
_cell_angle_beta 91.18
_cell_angle_gamma 90.00
_symmetry_space_group_name_H-M 'P 1 m 1'
_symmetry_Int_Tables_number 6
loop_
_symmetry_equiv_pos_as_xyz
'x,y,z'
'x,-y,z'
loop_
_atom_site_label
_atom_site_type_symbol
_atom_site_fract_x
_atom_site_fract_y
_atom_site_fract_z
Cr1 Cr 0.0000 0.0000 0.0000
Si1 Si 0.0153 0.5000 0.2562
Si2 Si 0.5121 0.0000 0.2315
Br1 Br 0.9626 0.5000 0.7729
```

---

# 6
# CrSi2Br

A relaxed CrSi2Br crystal (PBE, Alexandria).

## Properties
The value obtained for the uncorrected formation energy is 34.35 kJ/mol of atoms. For the total magnetic moment, the calculation gives 1.6 μB/f.u. The density of states at the Fermi level comes out at 3.48 states/eV/cell.

Structure (CIF):
```
data_CrSi2Br
_cell_length_a 2.9801
_cell_length_b 2.9801
_cell_length_c 8.3872
_cell_angle_alpha 90.00
_cell_angle_beta 90.00
_cell_angle_gamma 90.00
_symmetry_space_group_name_H-M 'P 4/m m m'
_symmetry_Int_Tables_number 123
_symmetry_space_group_name_Hall '-P 4 2'
loop_
_atom_site_label
_atom_site_type_symbol
_atom_site_fract_x
_atom_site_fract_y
_atom_site_fract_z
Cr1 Cr 0.0000 0.0000 0.0000
Si1 Si 0.5000 0.5000 0.1513
Br1 Br 0.0000 0.0000 0.5000
```

---

# 7
# CrSi2Br

A relaxed CrSi2Br crystal (PBE, Alexandria).

## Properties
The value obtained for the uncorrected formation energy is 80.22 kJ/mol of atoms. For the total magnetic moment, the calculation gives 1.3 μB/f.u. The density of states at the Fermi level comes out at 11.83 states/eV/cell.

Structure (CIF):
```
data_CrSi2Br
_cell_length_a 5.7724
_cell_length_b 5.7724
_cell_length_c 11.9048
_cell_angle_alpha 90.00
_cell_angle_beta 90.00
_cell_angle_gamma 90.00
_symmetry_space_group_name_H-M 'I -4 2 d'
_symmetry_Int_Tables_number 122
_symmetry_space_group_name_Hall 'I -4 2bw'
loop_
_atom_site_label
_atom_site_type_symbol
_atom_site_fract_x
_atom_site_fract_y
_atom_site_fract_z
Cr1 Cr 0.0000 0.0000 0.0000
Si1 Si 0.1733 0.2500 0.1250
Br1 Br 0.0000 0.0000 0.5000
```

---

# 8
# CrSi2Br

A relaxed CrSi2Br crystal (PBE, Alexandria).

## Properties
The value obtained for the uncorrected formation energy is 62.93 kJ/mol of atoms. For the total magnetic moment, the calculation gives 3.2 μB/f.u. The density of states at the Fermi level comes out at 3.22 states/eV/cell.

Structure (CIF):
```
data_CrSi2Br
_cell_length_a 7.5916
_cell_length_b 6.9601
_cell_length_c 3.0122
_cell_angle_alpha 90.00
_cell_angle_beta 110.20
_cell_angle_gamma 90.00
_symmetry_space_group_name_H-M 'C 1 2/m 1'
_symmetry_Int_Tables_number 12
loop_
_symmetry_equiv_pos_as_xyz
'x,y,z'
'-x,-y,-z'
'-x,y,-z'
'x,-y,z'
'x+1/2,y+1/2,z'
'-x+1/2,-y+1/2,-z'
'-x+1/2,y+1/2,-z'
'x+1/2,-y+1/2,z'
loop_
_atom_site_label
_atom_site_type_symbol
_atom_site_fract_x
_atom_site_fract_y
_atom_site_fract_z
Cr1 Cr 0.0000 0.0000 0.0000
Si1 Si 0.2500 0.2500 0.5000
Br1 Br 0.0000 0.5000 0.0000
```

---

| no. | ΔE to the lowest computed polymorph (meV/atom) | raw total energy (eV per atom) |
| --- | --- | --- |
| 1 | 396.0 | -4.940 |
| 2 | 381.0 | -5.049 |
| 3 | 348.5 | -4.325 |
| 4 | 254.7 | -5.175 |
| 5 | 71.4 | -5.359 |
| 6 | 250.4 | -5.180 |
| 7 | 725.8 | -4.704 |
| 8 | 546.6 | -4.883 |